1.
# GGA-PBE Ac4LaIn2, relaxed
# DOS at the Fermi energy = 8.5 states/eV/f.u.
# E above lowest polymorph = 29 meV/atom
# V = 542 Å³/cell
data_Ac4LaIn2
_chemical_formula_sum 'Ac8 La2 In4'
_cell_length_a 9.179
_cell_length_b 7.024
_cell_length_c 9.191
_cell_angle_alpha 90.00
_cell_angle_beta 113.78
_cell_angle_gamma 90.00
_symmetry_space_group_name_H-M 'P 1 21/m 1'
_symmetry_Int_Tables_number 11
_symmetry_space_group_name_Hall '-P 2yb'
loop_
_atom_site_label
_atom_site_fract_x
_atom_site_fract_y
_atom_site_fract_z
Ac1 0.059 0.250 0.082
Ac2 0.206 0.000 0.708
Ac3 0.415 0.250 0.441
La1 0.371 0.750 0.129
In1 0.158 0.750 0.345
In2 0.424 0.250 0.078



2.
# GGA-PBE BaLa2MgH, relaxed
# DOS at the Fermi energy = 7.4 states/eV/f.u.
# E = -3.40 eV/atom
# V = 152 Å³/cell
data_BaLa2MgH
_chemical_formula_sum 'Ba1 La2 Mg1 H1'
_cell_length_a 5.223
_cell_length_b 5.223
_cell_length_c 5.571
_cell_angle_alpha 90.00
_cell_angle_beta 90.00
_cell_angle_gamma 90.00
_symmetry_space_group_name_H-M 'P 4/m m m'
_symmetry_Int_Tables_number 123
_symmetry_space_group_name_Hall '-P 4 2'
loop_
_atom_site_label
_atom_site_fract_x
_atom_site_fract_y
_atom_site_fract_z
Ba1 0.000 0.000 0.000
La1 0.000 0.500 0.500
Mg1 0.500 0.500 0.000
H1 0.000 0.000 0.500



3.
# GGA-PBE Sm6TmTh3, relaxed
# DOS at the Fermi energy = 15.1 states/eV/f.u.
# E = -5.42 eV/atom
# V = 665 Å³/cell
data_Sm6TmTh3
_chemical_formula_sum 'Sm12 Tm2 Th6'
_cell_length_a 3.555
_cell_length_b 11.970
_cell_length_c 16.511
_cell_angle_alpha 107.61
_cell_angle_beta 96.07
_cell_angle_gamma 90.08
_symmetry_space_group_name_H-M 'P -1'
_symmetry_Int_Tables_number 2
_symmetry_space_group_name_Hall '-P 1'
loop_
_atom_site_label
_atom_site_fract_x
_atom_site_fract_y
_atom_site_fract_z
Sm1 0.015 0.376 0.028
Sm2 0.047 0.902 0.103
Sm3 0.139 0.148 0.280
Sm4 0.165 0.869 0.317
Sm5 0.288 0.616 0.574
Sm6 0.417 0.373 0.833
Tm1 0.122 0.416 0.243
Th1 0.265 0.891 0.533
Th2 0.303 0.335 0.607
Th3 0.456 0.845 0.910



4.
# GGA-PBE CoSn2Ir2, relaxed
# DOS at the Fermi energy = 4.9 states/eV/f.u.
# E = -6.37 eV/atom
# V = 176 Å³/cell
data_CoSn2Ir2
_chemical_formula_sum 'Co2 Sn4 Ir4'
_cell_length_a 7.580
_cell_length_b 7.580
_cell_length_c 3.066
_cell_angle_alpha 90.00
_cell_angle_beta 90.00
_cell_angle_gamma 90.00
_symmetry_space_group_name_H-M 'P 4/m b m'
_symmetry_Int_Tables_number 127
_symmetry_space_group_name_Hall '-P 4 2ab'
loop_
_atom_site_label
_atom_site_fract_x
_atom_site_fract_y
_atom_site_fract_z
Co1 0.000 0.000 0.000
Sn1 0.162 0.338 0.500
Ir1 0.138 0.638 0.000